The following is a GGA-PBE calculation of HoErTl after structural relaxation, from Alexandria.

CIF file:
```
data_HoErTl
_cell_length_a 3.545
_cell_length_b 3.545
_cell_length_c 7.274
_cell_angle_alpha 104.10
_cell_angle_beta 104.10
_cell_angle_gamma 90.00
_symmetry_space_group_name_H-M 'P 1'
_symmetry_Int_Tables_number 1
loop_
_symmetry_equiv_pos_as_xyz
'x,y,z'
loop_
_atom_site_label
_atom_site_type_symbol
_atom_site_fract_x
_atom_site_fract_y
_atom_site_fract_z
_atom_site_occupancy
Tl1 Tl 0.666 0.666 0.333 1
Er1 Er 0.008 0.008 0.016 1
Ho1 Ho 0.326 0.326 0.651 1
```

## Properties
uncorrected energy: -4.064 eV/atom
energy of formation from the pure elements: -0.228 eV/atom
excess energy over the best structure of this formula in the dataset: 22 meV per atom